--- 1 ---
K2Ta: relaxed, PBE.

Output
Its total magnetic moment is 28.4 Bohr magnetons per cell.

Cell lengths 9.547, 9.547, 9.547 Å; angles 90.00, 90.00, 90.00 degrees
Space group Fd-3m (No. 227, origin choice 2)
Symmetry-distinct sites (fractional):
1 K 0.000 0.000 0.000
2 Ta 0.125 0.125 0.625

***

--- 2 ---
K2Ta: relaxed, PBE.

Output
Its total magnetic moment is 20.0 Bohr magnetons per cell.

Cell lengths 8.565, 8.565, 8.565 Å; angles 90.00, 90.00, 90.00 degrees
Space group Fm-3m (No. 225)
Symmetry-distinct sites (fractional):
1 K 0.250 0.250 0.250
2 Ta 0.000 0.000 0.000

***

Which of the structures shown above is the most stable? The most stable is 2.